The following is a PBE calculation of a relaxed Pm2Er5Th5 crystal, from Alexandria via LeMat-Bulk.

a b c (Å): 7.9765 7.9765 11.2866
angles (deg): 115.25 115.25 36.73
Last column: nearest neighbours and their distance in Å.
Atoms (fractional coordinates):
Pm1 0.0832 0.0832 0.2493  7 Er 3.54-3.59, 5 Th 3.58-3.60
Pm2 0.9168 0.9168 0.7507  7 Er 3.54-3.59, 5 Th 3.58-3.60
Er1 0.3324 0.3324 0.4960  4 Er 3.50-3.60, 3 Pm 3.54-3.59, 5 Th 3.54-3.64
Er2 0.4148 0.4148 0.2518  3 Er 3.50-3.61, 7 Th 3.51-3.58, 2 Pm 3.59
Er3 0.5000 0.5000 0.0000  4 Pm 3.55, 6 Th 3.57-3.59, 2 Er 3.61
Er4 0.5852 0.5852 0.7482  3 Er 3.50-3.61, 7 Th 3.51-3.58, 2 Pm 3.59
Er5 0.6676 0.6676 0.5040  4 Er 3.50-3.60, 3 Pm 3.54-3.59, 5 Th 3.54-3.64
Th1 0.0000 0.0000 0.5000  8 Er 3.55-3.56, 2 Th 3.55, 2 Pm 3.58
Th2 0.1698 0.1698 0.0010  5 Th 3.50-3.54, 5 Er 3.51-3.59, 2 Pm 3.59-3.60
Th3 0.2484 0.2484 0.7520  4 Th 3.51-3.55, 6 Er 3.51-3.64, 2 Pm 3.58
Th4 0.7516 0.7516 0.2480  4 Th 3.51-3.55, 6 Er 3.51-3.64, 2 Pm 3.58
Th5 0.8302 0.8302 0.9990  5 Th 3.50-3.54, 5 Er 3.51-3.59, 2 Pm 3.59-3.60

* E_form: 0.0445 eV/atom
* total energy: -68.9 eV/f.u.
* space-group type: C2/m
* M_tot: 0.00 μB per cell